Sc2BeHPt | Alexandria via LeMat-Bulk | PBE | relaxed; total DFT energy (no corrections) = -28.84 eV/cell; space group = P4/mmm, No. 123
1.0
-4.1768 -0.2008 1.6887
1.7001 -0.3900 4.1588
-0.0295 3.3789 0.3289
Sc Be Pt H
2 1 1 1
Direct
0.0000 0.5000 0.0000
0.5000 0.0000 0.0000
0.0000 0.0000 0.5000
0.5000 0.5000 0.5000
0.0000 0.0000 0.0000